1.
The following is a GGA-PBE calculation of a relaxed ZrB2W crystal, from Alexandria. Values from VASP.

```
&SYSTEM
  ibrav = 0, nat = 4, ntyp = 3
/
ATOMIC_SPECIES
B 10.81 B.upf
Zr 91.22 Zr.upf
W 183.84 W.upf
ATOMIC_POSITIONS crystal
B 0.250 0.250 0.250
Zr 0.000 0.000 0.000
B 0.750 0.750 0.750
W 0.500 0.500 0.500
CELL_PARAMETERS angstrom
-2.813 -2.864 -0.904
-2.181 -1.764 3.011
-4.005 0.850 0.408
```

Calculated values
SG: Fm-3m (225)
ΔH_f (0 K): 0.30 eV per atom

=====

2.
The following is a GGA-PBE calculation of a relaxed ZrB2W crystal, from Alexandria. Values from VASP.

```
&SYSTEM
  ibrav = 0, nat = 4, ntyp = 3
/
ATOMIC_SPECIES
B 10.81 B.upf
W 183.84 W.upf
Zr 91.22 Zr.upf
ATOMIC_POSITIONS crystal
B 0.258 0.258 0.227
W 0.000 0.000 0.000
B 0.742 0.742 0.773
Zr 0.500 0.500 0.500
CELL_PARAMETERS angstrom
-2.230 1.439 -1.936
-2.824 1.092 1.276
0.603 5.658 0.724
```

Calculated values
SG: R-3m (166)
ΔH_f (0 K): -0.45 eV per atom

=====

3.
The following is a GGA-PBE calculation of a relaxed ZrB4W crystal, from Alexandria. Values from VASP.

```
&SYSTEM
  ibrav = 0, nat = 24, ntyp = 3
/
ATOMIC_SPECIES
B 10.81 B.upf
Zr 91.22 Zr.upf
W 183.84 W.upf
ATOMIC_POSITIONS crystal
B 0.500 0.021 0.696
Zr 0.000 0.129 0.149
B 0.500 0.870 0.031
B 0.500 0.117 0.549
B 0.500 0.630 0.531
B 0.500 0.703 0.688
Zr 0.000 0.371 0.649
W 0.000 0.636 0.088
W 0.000 0.864 0.588
B 0.500 0.383 0.049
Zr 0.000 0.871 0.851
Zr 0.000 0.629 0.351
B 0.500 0.521 0.804
B 0.500 0.203 0.812
B 0.500 0.130 0.969
B 0.500 0.617 0.951
B 0.500 0.479 0.196
W 0.000 0.136 0.412
B 0.500 0.797 0.188
B 0.500 0.370 0.469
B 0.500 0.883 0.451
B 0.500 0.979 0.304
W 0.000 0.364 0.912
B 0.500 0.297 0.312
CELL_PARAMETERS angstrom
3.534 0.000 0.000
0.000 5.948 0.000
0.000 0.000 11.480
```

Calculated values
SG: Pbam (55)
ΔH_f (0 K): -0.53 eV per atom

=====

4.
The following is a GGA-PBE calculation of a relaxed YB crystal, from Alexandria. Values from VASP.

```
&SYSTEM
  ibrav = 0, nat = 16, ntyp = 2
/
ATOMIC_SPECIES
Y 88.91 Y.upf
B 10.81 B.upf
ATOMIC_POSITIONS crystal
Y 0.330 0.330 0.500
B 0.177 0.500 0.000
Y 0.711 0.000 0.000
B 0.500 0.904 0.500
Y 0.000 0.711 0.000
B 0.823 0.500 0.000
B 0.500 0.096 0.500
Y 0.000 0.289 0.000
Y 0.670 0.670 0.500
B 0.904 0.500 0.500
Y 0.330 0.670 0.500
B 0.500 0.177 0.000
B 0.096 0.500 0.500
Y 0.670 0.330 0.500
Y 0.289 0.000 0.000
B 0.500 0.823 0.000
CELL_PARAMETERS angstrom
9.499 0.000 0.000
0.000 9.499 0.000
0.000 0.000 3.263
```

Calculated values
SG: P4/mmm (123)
ΔH_f (0 K): -0.33 eV per atom

=====

5.
The following is a GGA-PBE calculation of a relaxed YB6 crystal, from Alexandria. Values from VASP.

```
&SYSTEM
  ibrav = 0, nat = 7, ntyp = 2
/
ATOMIC_SPECIES
B 10.81 B.upf
Y 88.91 Y.upf
ATOMIC_POSITIONS crystal
B 0.750 0.500 0.250
B 0.750 0.250 0.500
B 0.500 0.750 0.250
B 0.250 0.500 0.750
B 0.500 0.250 0.750
B 0.250 0.750 0.500
Y 0.000 0.000 0.000
CELL_PARAMETERS angstrom
4.351 0.000 0.000
-1.450 4.102 0.000
-1.450 -2.051 3.552
```

Calculated values
SG: Im-3m (229)
ΔH_f (0 K): -0.05 eV per atom

=====

6.
The following is a GGA-PBE calculation of a relaxed YB crystal, from Alexandria. Values from VASP.

```
&SYSTEM
  ibrav = 0, nat = 2, ntyp = 2
/
ATOMIC_SPECIES
Y 88.91 Y.upf
B 10.81 B.upf
ATOMIC_POSITIONS crystal
Y 0.500 0.500 0.500
B 0.000 0.000 0.000
CELL_PARAMETERS angstrom
3.221 0.000 0.000
0.000 3.221 0.000
0.000 0.000 3.221
```

Calculated values
SG: Pm-3m (221)
ΔH_f (0 K): 0.24 eV per atom

=====

7.
The following is a GGA-PBE calculation of a relaxed YB crystal, from Alexandria. Values from VASP.

```
&SYSTEM
  ibrav = 0, nat = 16, ntyp = 2
/
ATOMIC_SPECIES
B 10.81 B.upf
Y 88.91 Y.upf
ATOMIC_POSITIONS crystal
B 0.920 0.103 0.510
Y 0.801 0.750 0.303
Y 0.591 0.250 0.307
Y 0.699 0.250 0.803
Y 0.409 0.750 0.693
Y 0.909 0.750 0.807
Y 0.199 0.250 0.697
B 0.580 0.897 0.010
B 0.420 0.397 0.990
B 0.420 0.103 0.990
B 0.920 0.397 0.510
B 0.580 0.603 0.010
B 0.080 0.603 0.490
Y 0.301 0.750 0.197
B 0.080 0.897 0.490
Y 0.091 0.250 0.193
CELL_PARAMETERS angstrom
-1.242 -5.956 4.359
3.425 2.293 4.109
-5.328 3.097 2.713
```

Calculated values
SG: Pnma (62)
ΔH_f (0 K): -0.35 eV per atom

=====

8.
The following is a GGA-PBE calculation of a relaxed YB crystal, from Alexandria. Values from VASP.

```
&SYSTEM
  ibrav = 0, nat = 12, ntyp = 2
/
ATOMIC_SPECIES
Y 88.91 Y.upf
B 10.81 B.upf
ATOMIC_POSITIONS crystal
Y 0.500 0.000 0.250
B 0.500 0.750 0.000
B 0.500 0.250 0.000
B 0.000 0.500 0.750
B 0.750 0.000 0.500
Y 0.250 0.500 0.000
Y 0.000 0.750 0.500
Y 0.500 0.000 0.750
B 0.250 0.000 0.500
Y 0.000 0.250 0.500
Y 0.750 0.500 0.000
B 0.000 0.500 0.250
CELL_PARAMETERS angstrom
7.031 0.000 0.000
0.000 7.031 0.000
0.000 0.000 7.031
```

Calculated values
SG: Pm-3n (223)
ΔH_f (0 K): 0.98 eV per atom